Record 1
Entry from Alexandria: a geometry-optimized Sm2SiC structure (PBE).

Calculated values
For the uncorrected formation energy, the calculation gives 0.760 eV/atom.

```
Sm2SiC
1.0
-2.339 -3.100 -2.065
-2.537 -2.749 2.315
-7.499 2.918 -0.573
Si C Sm
1 1 2
Direct
0.500 0.500 0.500
0.000 0.000 0.000
0.100 0.100 0.701
0.900 0.900 0.299
```



Record 2
Entry from Alexandria: a geometry-optimized Ag2Pd5Au structure (PBE).

Calculated values
The value obtained for the energy of formation from the pure elements is -0.026 eV/atom.

```
Ag2Pd5Au
1.0
-1.281 -3.532 1.264
5.418 -1.806 0.444
0.361 3.745 10.834
Ag Pd Au
4 10 2
Direct
0.500 0.250 0.626
0.500 0.750 0.374
0.500 0.250 0.126
0.500 0.750 0.874
0.000 0.000 0.000
0.000 0.500 0.500
0.000 0.496 0.749
0.000 0.504 0.251
0.000 0.004 0.249
0.000 0.996 0.751
0.500 0.245 0.873
0.500 0.755 0.127
0.500 0.255 0.373
0.500 0.745 0.627
0.000 0.000 0.500
0.000 0.500 0.000
```